Entry from Alexandria via LeMat-Bulk: Na2NpCrS4 after structural relaxation (PBE-GGA).

Cell: 3.871 6.457 7.024 Å, 108.32 90.00 90.00°
Site moments in Bohr magnetons follow the coordinates.
Fractional coordinates of all 8 atoms:
S  0.500  0.780  0.790  -0.10
S  0.500  0.220  0.210  -0.10
S  0.000  0.242  0.777  -0.09
S  0.000  0.758  0.223  -0.09
Cr  0.000  0.000  0.000  3.30
Np  0.500  0.500  0.000  3.60
Na  0.500  0.000  0.500  0.00
Na  0.000  0.500  0.500  0.00

Properties
final energy	-6.330	eV per atom

Entry from Alexandria via LeMat-Bulk: Na3Np3CrS8 after structural relaxation (PBE-GGA).

Cell: 7.779 7.777 8.105 Å, 118.68 90.00 120.01°
Site moments in Bohr magnetons follow the coordinates.
Fractional coordinates of all 15 atoms:
S  0.241  0.015  0.290  -0.10
S  0.759  0.985  0.710  -0.10
S  0.744  0.487  0.731  -0.08
S  0.225  0.985  0.710  -0.10
S  0.775  0.015  0.290  -0.10
S  0.775  0.549  0.290  -0.10
S  0.225  0.451  0.710  -0.10
S  0.256  0.513  0.269  -0.08
Na  0.500  0.500  0.000  0.00
Na  0.000  0.500  0.000  0.00
Na  0.000  0.000  0.000  0.00
Np  0.000  0.500  0.500  3.66
Np  0.500  0.500  0.500  3.66
Np  0.500  0.000  0.500  3.66
Cr  0.000  0.000  0.500  3.10

Properties
final energy	-6.920	eV per atom

Entry from Alexandria via LeMat-Bulk: Na2NpCr2S6 after structural relaxation (PBE-GGA).

Cell: 6.288 6.288 7.101 Å, 98.11 98.11 120.70°
Site moments in Bohr magnetons follow the coordinates.
Fractional coordinates of all 11 atoms:
S  0.063  0.426  0.704  -0.11
S  0.705  0.705  0.706  -0.10
S  0.426  0.063  0.704  -0.11
S  0.937  0.574  0.296  -0.11
S  0.295  0.295  0.294  -0.10
S  0.574  0.937  0.296  -0.11
Na  0.838  0.162  0.000  0.00
Na  0.162  0.838  0.000  0.00
Np  0.000  0.000  0.500  3.36
Cr  0.667  0.333  0.500  2.88
Cr  0.333  0.667  0.500  2.88

Properties
final energy	-6.472	eV per atom

Entry from Alexandria via LeMat-Bulk: Na4Np3CrS8 after structural relaxation (PBE-GGA).

Cell: 7.837 8.057 7.838 Å, 119.13 120.00 90.00°
Site moments in Bohr magnetons follow the coordinates.
Fractional coordinates of all 16 atoms:
S  0.233  0.720  0.467  -0.09
S  0.767  0.280  0.013  -0.09
S  0.743  0.730  0.487  -0.09
S  0.233  0.720  0.987  -0.09
S  0.247  0.280  0.013  -0.09
S  0.767  0.280  0.533  -0.09
S  0.257  0.270  0.513  -0.09
S  0.753  0.720  0.987  -0.09
Na  0.500  0.000  0.500  0.00
Na  0.500  0.000  0.000  0.00
Na  0.000  0.000  0.000  0.00
Na  0.000  0.000  0.500  0.00
Np  0.500  0.500  0.000  3.75
Np  0.500  0.500  0.500  3.75
Np  0.000  0.500  0.500  3.75
Cr  0.000  0.500  0.000  3.47

Properties
final energy	-6.650	eV per atom

Entry from Alexandria via LeMat-Bulk: Na2Np2CrS6 after structural relaxation (PBE-GGA).

Cell: 6.616 6.616 7.089 Å, 98.89 98.89 119.45°
Site moments in Bohr magnetons follow the coordinates.
Fractional coordinates of all 11 atoms:
S  0.764  0.764  0.711  -0.10
S  0.613  0.930  0.286  -0.11
S  0.387  0.070  0.714  -0.11
S  0.930  0.613  0.286  -0.11
S  0.236  0.236  0.289  -0.10
S  0.070  0.387  0.714  -0.11
Na  0.833  0.167  0.000  0.00
Na  0.167  0.833  0.000  0.00
Cr  0.000  0.000  0.500  3.12
Np  0.334  0.666  0.500  3.52
Np  0.666  0.334  0.500  3.52

Properties
final energy	-6.888	eV per atom

Entry from Alexandria via LeMat-Bulk: Na3NpCr2S6 after structural relaxation (PBE-GGA).

Cell: 6.408 6.408 7.004 Å, 98.83 98.83 120.02°
Site moments in Bohr magnetons follow the coordinates.
Fractional coordinates of all 12 atoms:
Na  0.838  0.162  0.500  0.00
Na  0.162  0.838  0.500  0.00
Na  0.500  0.500  0.500  0.00
S  0.071  0.428  0.210  -0.09
S  0.713  0.713  0.211  -0.09
S  0.572  0.929  0.790  -0.09
S  0.287  0.287  0.789  -0.09
S  0.929  0.572  0.790  -0.09
S  0.428  0.071  0.210  -0.09
Cr  0.333  0.667  0.000  3.11
Cr  0.667  0.333  0.000  3.11
Np  0.000  0.000  0.000  3.60

Properties
final energy	-6.147	eV per atom

Entry from Alexandria via LeMat-Bulk: Na4NpCr3S8 after structural relaxation (PBE-GGA).

Cell: 7.362 7.869 7.363 Å, 117.94 119.99 90.00°
Site moments in Bohr magnetons follow the coordinates.
Fractional coordinates of all 16 atoms:
S  0.752  0.287  0.034  -0.09
S  0.282  0.287  0.034  -0.09
S  0.731  0.692  0.461  -0.08
S  0.269  0.308  0.539  -0.08
S  0.718  0.713  0.966  -0.09
S  0.752  0.287  0.505  -0.09
S  0.248  0.713  0.495  -0.09
S  0.248  0.713  0.966  -0.09
Na  0.500  0.000  0.500  0.00
Na  0.500  0.000  0.000  0.00
Na  0.000  0.000  0.000  0.00
Na  0.000  0.000  0.500  0.00
Cr  0.500  0.500  0.000  3.09
Cr  0.500  0.500  0.500  3.09
Cr  0.000  0.500  0.500  3.09
Np  0.000  0.500  0.000  3.50

Properties
final energy	-6.028	eV per atom

Entry from Alexandria via LeMat-Bulk: NaNpCr4S8 after structural relaxation (PBE-GGA).

Cell: 6.937 6.937 7.545 Å, 62.63 62.63 60.00°
Site moments in Bohr magnetons follow the coordinates.
Fractional coordinates of all 14 atoms:
Na  0.367  0.367  0.898  0.00
S  0.786  0.250  0.714  -0.05
S  0.242  0.242  0.273  -0.07
S  0.769  0.769  0.693  -0.12
S  0.736  0.233  0.295  -0.12
S  0.736  0.736  0.295  -0.12
S  0.250  0.786  0.714  -0.05
S  0.250  0.250  0.714  -0.05
S  0.233  0.736  0.295  -0.12
Np  0.994  0.994  0.018  3.49
Cr  0.638  0.638  0.087  3.47
Cr  0.028  0.028  0.501  1.00
Cr  0.028  0.442  0.501  1.00
Cr  0.442  0.028  0.501  1.00

Properties
final energy	-6.790	eV per atom

Entry from Alexandria via LeMat-Bulk: Na3Np3CrSe8 after structural relaxation (PBE-GGA).

Cell: 8.135 8.132 8.493 Å, 118.60 90.00 120.01°
Site moments in Bohr magnetons follow the coordinates.
Fractional coordinates of all 15 atoms:
Se  0.773  0.013  0.286  -0.12
Se  0.255  0.510  0.265  -0.08
Se  0.227  0.987  0.714  -0.12
Se  0.240  0.013  0.286  -0.12
Se  0.745  0.490  0.735  -0.08
Se  0.760  0.987  0.714  -0.12
Se  0.227  0.453  0.713  -0.12
Se  0.773  0.547  0.287  -0.12
Np  0.500  0.000  0.500  3.73
Np  0.000  0.500  0.500  3.73
Np  0.500  0.500  0.500  3.73
Na  0.000  0.000  0.000  0.00
Na  0.500  0.500  0.000  0.00
Na  0.000  0.500  0.000  0.00
Cr  0.000  0.000  0.500  3.18

Properties
final energy	-6.421	eV per atom

Entry from Alexandria via LeMat-Bulk: Na4NpCr3Se8 after structural relaxation (PBE-GGA).

Cell: 7.741 8.270 7.744 Å, 117.96 119.99 90.00°
Site moments in Bohr magnetons follow the coordinates.
Fractional coordinates of all 16 atoms:
Se  0.249  0.714  0.966  -0.11
Se  0.718  0.714  0.966  -0.11
Se  0.732  0.695  0.463  -0.11
Se  0.282  0.286  0.034  -0.11
Se  0.751  0.286  0.034  -0.11
Se  0.751  0.286  0.503  -0.11
Se  0.268  0.305  0.537  -0.11
Se  0.249  0.714  0.497  -0.11
Na  0.000  0.000  0.000  0.00
Na  0.500  0.000  0.000  0.00
Na  0.500  0.000  0.500  0.00
Na  0.000  0.000  0.500  0.00
Cr  0.500  0.500  0.500  3.18
Cr  0.000  0.500  0.500  3.18
Cr  0.500  0.500  0.000  3.18
Np  0.000  0.500  0.000  3.60

Properties
final energy	-5.573	eV per atom

Entry from Alexandria via LeMat-Bulk: Na2NpCrSe4 after structural relaxation (PBE-GGA).

Cell: 4.043 6.774 7.380 Å, 108.35 90.00 90.00°
Site moments in Bohr magnetons follow the coordinates.
Fractional coordinates of all 8 atoms:
Se  0.500  0.220  0.212  -0.11
Se  0.500  0.780  0.788  -0.11
Se  0.000  0.240  0.774  -0.10
Se  0.000  0.760  0.226  -0.10
Cr  0.000  0.000  0.000  3.36
Na  0.500  0.000  0.500  0.00
Na  0.000  0.500  0.500  0.00
Np  0.500  0.500  0.000  3.69

Properties
final energy	-5.870	eV per atom

Entry from Alexandria via LeMat-Bulk: Na2NpCrTe4 after structural relaxation (PBE-GGA).

Cell: 4.318 7.325 7.949 Å, 108.21 90.00 90.00°
Site moments in Bohr magnetons follow the coordinates.
Fractional coordinates of all 8 atoms:
Te  0.000  0.284  0.789  -0.13
Te  0.500  0.262  0.228  -0.11
Te  0.500  0.738  0.772  -0.11
Te  0.000  0.716  0.211  -0.13
Na  0.000  0.500  0.500  0.00
Na  0.500  0.000  0.500  0.00
Np  0.000  0.000  0.000  3.82
Cr  0.500  0.500  0.000  3.40

Properties
final energy	-5.347	eV per atom

Entry from Alexandria via LeMat-Bulk: Na3Np2CrTe6 after structural relaxation (PBE-GGA).

Cell: 7.543 7.543 7.919 Å, 99.16 99.16 120.06°
Site moments in Bohr magnetons follow the coordinates.
Fractional coordinates of all 12 atoms:
Te  0.612  0.925  0.775  -0.10
Te  0.075  0.388  0.225  -0.10
Te  0.763  0.763  0.224  -0.11
Te  0.237  0.237  0.776  -0.11
Te  0.925  0.612  0.775  -0.10
Te  0.388  0.075  0.225  -0.10
Cr  0.000  0.000  0.000  3.46
Np  0.334  0.666  0.000  3.89
Np  0.666  0.334  0.000  3.89
Na  0.500  0.500  0.500  0.00
Na  0.172  0.828  0.500  0.00
Na  0.828  0.172  0.500  0.00

Properties
final energy	-5.548	eV per atom

Entry from Alexandria via LeMat-Bulk: Na3NpCr2Te6 after structural relaxation (PBE-GGA).

Cell: 7.248 7.248 7.948 Å, 98.83 98.83 120.04°
Site moments in Bohr magnetons follow the coordinates.
Fractional coordinates of all 12 atoms:
Te  0.294  0.294  0.789  0.05
Te  0.928  0.564  0.788  0.05
Te  0.564  0.928  0.788  0.05
Te  0.706  0.706  0.211  0.05
Te  0.436  0.072  0.212  0.05
Te  0.072  0.436  0.212  0.05
Cr  0.332  0.668  0.000  -3.12
Cr  0.668  0.332  0.000  -3.12
Na  0.843  0.157  0.500  0.00
Na  0.500  0.500  0.500  0.00
Na  0.157  0.843  0.500  0.00
Np  0.000  0.000  0.000  3.76

Properties
final energy	-5.147	eV per atom

no.,uncorrected formation energy (kJ/mol of formula units)
1,-862
2,-1773
3,-1119
4,-1897
5,-1241
6,-1240
7,-1577
8,-896
9,-1547
10,-1371
11,-755
12,-483
13,-798
14,-653